Entry from Alexandria: crystalline NaDyCdCl6 at its relaxed geometry (PBE).

Unit cell a=6.8142 b=6.8142 c=12.6055 alpha=90.00 beta=90.00 gamma=120.00
Space group P-31c (No. 163)
Unique sites:
Na (0.0000, 0.0000, 0.0000)
Dy (0.3333, 0.6667, 0.2500)
Cd (0.3333, 0.6667, 0.7500)
Cl (0.0019, 0.3546, 0.1312)

Computed properties:
Magnetic moment = 0.0 Bohr magnetons per cell
Formation energy (no corrections) = -41.03 kcal/mol of atoms

---

Entry from Alexandria: crystalline La2TbDy6 at its relaxed geometry (PBE).

Unit cell a=13.283 b=7.654 c=5.997 alpha=90.00 beta=90.11 gamma=90.00
Space group C2/m (No. 12)
Unique sites:
La (0.166, 0.000, 0.215)
Tb (0.000, 0.500, 0.000)
Dy (0.094, 0.218, 0.707)
Dy (0.188, 0.500, 0.292)

Computed properties:
Magnetic moment = 0.0 Bohr magnetons per cell
Energy of formation = 236 meV per atom
Energy relative to the lowest polymorph listed for this composition = 1.090 eV per formula unit

---

Entry from Alexandria: crystalline Pr2SmSi3Pt4 at its relaxed geometry (PBE).

Unit cell a=4.318 b=4.318 c=10.905 alpha=90.00 beta=90.00 gamma=90.00
Space group P-4m2 (No. 115)
Unique sites:
Pr (0.000, 0.500, 0.225)
Sm (0.000, 0.000, 0.500)
Si (0.000, 0.500, 0.885)
Si (0.500, 0.500, 0.500)
Pt (0.000, 0.000, 0.000)
Pt (0.000, 0.500, 0.665)
Pt (0.500, 0.500, 0.000)

Computed properties:
Magnetic moment = 0.0 Bohr magnetons per cell
Formation energy (no corrections) = -23.41 kcal/mol of atoms

---

Entry from Alexandria: crystalline Cu4ReAu at its relaxed geometry (PBE).

Unit cell a=6.837 b=6.837 c=6.837 alpha=90.00 beta=90.00 gamma=90.00
Space group F-43m (No. 216)
Unique sites:
Cu (0.125, 0.125, 0.125)
Re (0.250, 0.250, 0.750)
Au (0.000, 0.000, 0.500)

Computed properties:
Magnetic moment = 7.5 Bohr magnetons per cell
Energy of formation = 365 meV per atom

---

Entry from Alexandria: crystalline LiPrEuHg at its relaxed geometry (PBE).

Unit cell a=7.739 b=7.739 c=7.739 alpha=90.00 beta=90.00 gamma=90.00
Space group F-43m (No. 216)
Unique sites:
Li (0.000, 0.000, 0.000)
Pr (0.250, 0.250, 0.750)
Eu (0.250, 0.250, 0.250)
Hg (0.000, 0.000, 0.500)

Computed properties:
Magnetic moment = 28.6 Bohr magnetons per cell
Energy of formation = -221 meV per atom

---

Entry from Alexandria: crystalline RbTmCu2F8 at its relaxed geometry (PBE).

Unit cell a=6.0017 b=6.0017 c=7.7701 alpha=90.00 beta=90.00 gamma=120.00
Space group P-3m1 (No. 164)
Unique sites:
Rb (0.0000, 0.0000, 0.0000)
Tm (0.0000, 0.0000, 0.5000)
Cu (0.3333, 0.6667, 0.2284)
F (0.1596, 0.3191, 0.3270)
F (0.3333, 0.6667, 0.9942)

Computed properties:
Magnetic moment = 2.0 Bohr magnetons per cell
Formation energy (no corrections) = -57.19 kcal/mol of atoms